Compound: LiCa2Zr
Source: the Alexandria database
Functional: PBE
Structure: optimized geometry

## Properties
For the polymorph energy (0 for the lowest one), the calculation gives 217.1 meV per atom. As for the energy of formation: 0.46 eV/atom. The calculated total energy comes out at -3.16 eV per atom. As for the space-group type: I4/mmm, No. 139.

Cell lengths 5.9089, 5.9089, 5.9089 Å; angles 128.82, 128.82, 75.30 degrees
Each line ends with the local moment (μB).
Fractional coordinates of all 4 atoms:
Ca 0.0000 0.0000 0.0000  0.09
Zr 0.7500 0.2500 0.5000  1.21
Li 0.2500 0.7500 0.5000  0.01
Ca 0.5000 0.5000 0.0000  0.09

***

Compound: LiCa2Zr
Source: the Alexandria database
Functional: PBE
Structure: optimized geometry

## Properties
For the polymorph energy (0 for the lowest one), the calculation gives 99.2 meV per atom. As for the energy of formation: 0.34 eV/atom. The calculated total energy comes out at -3.27 eV per atom. As for the space-group type: Cm, No. 8.

Cell lengths 6.4735, 6.4735, 5.8487 Å; angles 70.09, 70.09, 31.17 degrees
Each line ends with the local moment (μB).
Fractional coordinates of all 4 atoms:
Li 0.4841 0.4841 0.4759  0.02
Ca 0.0121 0.0121 0.9555  0.06
Zr 0.7750 0.7750 0.7672  0.84
Ca 0.2288 0.2288 0.3014  0.07

***

Compound: LiCaZr
Source: the Alexandria database
Functional: PBE
Structure: optimized geometry

## Properties
For the polymorph energy (0 for the lowest one), the calculation gives 12.8 meV per atom. As for the energy of formation: 0.34 eV/atom. The calculated total energy comes out at -3.81 eV per atom. As for the space-group type: P3m1, No. 156.

Cell lengths 3.2892, 3.2892, 8.5170 Å; angles 90.00, 90.00, 120.00 degrees
Each line ends with the local moment (μB).
Fractional coordinates of all 3 atoms:
Zr 0.6667 0.3333 0.6568  0.08
Li 0.3333 0.6667 0.3490  0.01
Ca 0.0000 0.0000 0.9943  0.03

***

Compound: LiCaZr
Source: the Alexandria database
Functional: PBE
Structure: optimized geometry

## Properties
For the polymorph energy (0 for the lowest one), the calculation gives 538.7 meV per atom. As for the energy of formation: 0.87 eV/atom. The calculated total energy comes out at -3.29 eV per atom. As for the space-group type: F-43m, No. 216.

Cell lengths 4.9682, 4.9682, 4.9682 Å; angles 60.00, 60.00, 60.00 degrees
Each line ends with the local moment (μB).
Fractional coordinates of all 3 atoms:
Li 0.7500 0.7500 0.7500  0.04
Zr 0.0000 0.0000 0.0000  0.91
Ca 0.5000 0.5000 0.5000  0.09

***

Compound: LiCa2Zr
Source: the Alexandria database
Functional: PBE
Structure: optimized geometry

## Properties
For the polymorph energy (0 for the lowest one), the calculation gives 108.9 meV per atom. As for the energy of formation: 0.35 eV/atom. The calculated total energy comes out at -3.26 eV per atom. As for the space-group type: C2/m, No. 12.

Cell lengths 8.0333, 6.0501, 3.3869 Å; angles 90.10, 64.90, 123.04 degrees
Each line ends with the local moment (μB).
Fractional coordinates of all 4 atoms:
Li 0.0000 0.5000 0.5000  0.00
Ca 0.5000 0.0000 0.5000  0.05
Ca 0.0000 0.0000 0.0000  0.05
Zr 0.5000 0.5000 0.0000  0.62

***

Compound: LiCa2Zr
Source: the Alexandria database
Functional: PBE
Structure: optimized geometry

## Properties
For the polymorph energy (0 for the lowest one), the calculation gives 196.5 meV per atom. As for the energy of formation: 0.44 eV/atom. The calculated total energy comes out at -3.18 eV per atom. As for the space-group type: Pmmm, No. 47.

Cell lengths 3.7130, 5.7478, 5.4747 Å; angles 90.00, 90.00, 90.00 degrees
Each line ends with the local moment (μB).
Fractional coordinates of all 4 atoms:
Zr 0.0000 0.5000 0.5000  0.36
Li 0.5000 0.0000 0.5000  0.00
Ca 0.5000 0.5000 0.0000  0.02
Ca 0.0000 0.0000 0.0000  0.00